1.
This record from Alexandria describes crystalline HfIBr3 at its relaxed geometry. The functional is PBE-GGA.

Calculated values
distance to the lowest polymorph of the same formula = 35.8 meV per atom
ΔE_f (raw) = -1.17 eV per atom
total magnetic moment = 0.000 μB per atom
symmetry = Pmn2_1 (31)

a = 6.412 Å, b = 7.885 Å, c = 7.610 Å
α = 89.98°, β = 90.00°, γ = 90.01°
Positions (direct):
Hf 0.178 0.674 0.701
Hf 0.678 0.679 0.201
I 0.380 0.369 0.701
I 0.880 0.983 0.201
Br 0.470 0.411 0.201
Br 0.425 0.815 0.948
Br 0.925 0.538 0.448
Br 0.970 0.942 0.701
Br 0.925 0.538 0.954
Br 0.425 0.815 0.454

2.
This record from Alexandria describes crystalline HfI2Br at its relaxed geometry. The functional is PBE-GGA.

Calculated values
distance to the lowest polymorph of the same formula = 621.7 meV per atom
ΔE_f (raw) = -0.02 eV per atom
total magnetic moment = 0.247 μB per atom
symmetry = Fm-3m (225)

a = 5.314 Å, b = 5.314 Å, c = 5.314 Å
α = 60.00°, β = 60.00°, γ = 60.00°
Positions (direct):
I 0.250 0.250 0.250
I 0.750 0.750 0.750
Hf 0.500 0.500 0.500
Br 0.000 0.000 0.000

3.
This record from Alexandria describes crystalline HfIBr3 at its relaxed geometry. The functional is PBE-GGA.

Calculated values
distance to the lowest polymorph of the same formula = 2134.7 meV per atom
ΔE_f (raw) = 0.93 eV per atom
total magnetic moment = 0.525 μB per atom
symmetry = Pm-3m (221)

a = 5.849 Å, b = 5.849 Å, c = 5.849 Å
α = 90.00°, β = 90.00°, γ = 90.00°
Positions (direct):
I 0.000 0.000 0.000
Hf 0.500 0.500 0.500
Br 0.000 0.500 0.000
Br 0.000 0.000 0.500
Br 0.500 0.000 0.000

4.
This record from Alexandria describes crystalline HfI2Br2 at its relaxed geometry. The functional is PBE-GGA.

Calculated values
ΔE_f (raw) = -0.19 eV per atom
total magnetic moment = 0.250 μB per atom
symmetry = P4/mbm (127)

a = 7.119 Å, b = 7.119 Å, c = 7.200 Å
α = 90.00°, β = 90.00°, γ = 90.00°
Positions (direct):
I 0.149 0.649 0.500
I 0.649 0.851 0.500
I 0.851 0.351 0.500
I 0.351 0.149 0.500
Hf 0.000 0.000 0.000
Hf 0.500 0.500 0.000
Br 0.324 0.824 0.000
Br 0.824 0.676 0.000
Br 0.676 0.176 0.000
Br 0.176 0.324 0.000

5.
This record from Alexandria describes crystalline Hf2IBr at its relaxed geometry. The functional is PBE-GGA.

Calculated values
distance to the lowest polymorph of the same formula = 0.0 meV per atom
ΔE_f (raw) = 0.16 eV per atom
total magnetic moment = 0.155 μB per atom
symmetry = I-42d (122)

a = 4.701 Å, b = 4.701 Å, c = 9.944 Å
α = 76.33°, β = 76.33°, γ = 90.00°
Positions (direct):
I 0.000 0.000 0.000
I 0.750 0.250 0.500
Hf 0.610 0.125 0.250
Hf 0.140 0.625 0.250
Hf 0.375 0.390 0.750
Hf 0.875 0.860 0.750
Br 0.500 0.500 0.000
Br 0.250 0.750 0.500

6.
This record from Alexandria describes crystalline HfIBr3 at its relaxed geometry. The functional is PBE-GGA.

Calculated values
distance to the lowest polymorph of the same formula = 0.0 meV per atom
ΔE_f (raw) = -1.20 eV per atom
total magnetic moment = 0.000 μB per atom
symmetry = Pnma (62)

a = 6.950 Å, b = 8.019 Å, c = 14.210 Å
α = 90.00°, β = 90.00°, γ = 90.00°
Positions (direct):
Hf 0.000 0.000 0.500
Hf 0.500 0.500 0.000
Hf 0.500 0.000 0.000
Hf 0.000 0.500 0.500
I 0.768 0.250 0.403
I 0.732 0.750 0.903
I 0.232 0.750 0.597
I 0.268 0.250 0.097
Br 0.265 0.002 0.864
Br 0.235 0.502 0.364
Br 0.235 0.998 0.364
Br 0.735 0.502 0.136
Br 0.735 0.998 0.136
Br 0.765 0.498 0.636
Br 0.765 0.002 0.636
Br 0.265 0.498 0.864
Br 0.700 0.250 0.918
Br 0.800 0.750 0.418
Br 0.300 0.750 0.082
Br 0.200 0.250 0.582

7.
This record from Alexandria describes crystalline HfI2Br at its relaxed geometry. The functional is PBE-GGA.

Calculated values
distance to the lowest polymorph of the same formula = 0.0 meV per atom
ΔE_f (raw) = -0.64 eV per atom
total magnetic moment = 0.250 μB per atom
symmetry = I-42d (122)

a = 10.545 Å, b = 10.545 Å, c = 7.921 Å
α = 48.27°, β = 48.27°, γ = 90.00°
Positions (direct):
I 0.772 0.125 0.250
I 0.978 0.625 0.250
I 0.375 0.228 0.750
I 0.875 0.022 0.750
Hf 0.000 0.000 0.000
Hf 0.750 0.250 0.500
Br 0.500 0.500 0.000
Br 0.250 0.750 0.500

8.
This record from Alexandria describes crystalline HfIBr3 at its relaxed geometry. The functional is PBE-GGA.

Calculated values
distance to the lowest polymorph of the same formula = 550.6 meV per atom
ΔE_f (raw) = -0.65 eV per atom
total magnetic moment = 0.000 μB per atom
symmetry = Pm-3m (221)

a = 5.316 Å, b = 5.316 Å, c = 5.316 Å
α = 90.00°, β = 90.00°, γ = 90.00°
Positions (direct):
I 0.500 0.500 0.500
Hf 0.000 0.000 0.000
Br 0.000 0.500 0.000
Br 0.000 0.000 0.500
Br 0.500 0.000 0.000